[1]
Density functional theory data (PBE-GGA) for a relaxed LiCoSn2 crystal.

The structure in POSCAR format:
```
LiCoSn2
1.0
7.122 0.000 0.000
0.000 4.118 0.000
-0.007 0.000 5.439
Li Co Sn
2 2 4
Direct
0.000 0.000 0.000
0.500 0.500 0.000
0.000 0.000 0.500
0.500 0.500 0.500
0.166 0.500 0.694
0.334 0.000 0.306
0.666 0.000 0.694
0.834 0.500 0.306
```

Summary:
Offset from the most stable computed form = 0.032 eV/atom
Final energy = -4.338 eV/atom
Space-group type = C2/m
Crystal system = monoclinic
Energy of formation = -7.85 kJ per mole of atoms



[2]
Density functional theory data (PBE-GGA) for a relaxed Pm7InRu4 crystal.

The structure in POSCAR format:
```
Pm7InRu4
1.0
6.863 -2.864 0.000
6.863 2.864 0.000
-5.880 0.000 7.923
Pm In Ru
7 1 4
Direct
0.000 0.000 0.000
0.177 0.177 0.630
0.291 0.291 0.119
0.420 0.420 0.621
0.580 0.580 0.379
0.709 0.709 0.881
0.823 0.823 0.370
0.500 0.500 0.000
0.063 0.063 0.775
0.197 0.197 0.345
0.803 0.803 0.655
0.937 0.937 0.225
```

Summary:
Final energy = -6.094 eV/atom
Space-group type = C2/m
Crystal system = monoclinic
Energy of formation = -0.26 kJ per mole of atoms



[3]
Density functional theory data (PBE-GGA) for a relaxed Tl2HgP crystal.

The structure in POSCAR format:
```
Tl2HgP
1.0
4.432 0.000 0.000
0.000 4.077 0.000
-2.210 0.000 5.924
Tl Hg P
2 1 1
Direct
0.000 0.000 0.000
0.317 0.500 0.634
0.718 0.000 0.439
0.573 0.500 0.142
```

Summary:
Offset from the most stable computed form = 0.055 eV/atom
Final energy = -2.439 eV/atom
Space-group type = Pm
Crystal system = monoclinic
Energy of formation = 16.58 kJ per mole of atoms



[4]
Density functional theory data (PBE-GGA) for a relaxed BeCd2As crystal.

The structure in POSCAR format:
```
BeCd2As
1.0
6.784 0.000 0.000
0.000 6.784 0.000
0.000 0.000 6.784
Be Cd As
4 8 4
Direct
0.000 0.000 0.000
0.000 0.500 0.500
0.500 0.000 0.500
0.500 0.500 0.000
0.000 0.000 0.500
0.000 0.500 0.000
0.250 0.250 0.250
0.250 0.750 0.750
0.500 0.000 0.000
0.500 0.500 0.500
0.750 0.250 0.750
0.750 0.750 0.250
0.250 0.250 0.750
0.250 0.750 0.250
0.750 0.250 0.250
0.750 0.750 0.750
```

Summary:
Offset from the most stable computed form = 0.388 eV/atom
Final energy = -2.021 eV/atom
Space-group type = F-43m
Crystal system = cubic
Energy of formation = 51.18 kJ per mole of atoms



[5]
Density functional theory data (PBE-GGA) for a relaxed Dy3AgIr crystal.

The structure in POSCAR format:
```
Dy3AgIr
1.0
5.689 0.000 0.000
-2.453 5.463 0.000
-1.611 -2.735 7.945
Dy Ag Ir
6 2 2
Direct
0.069 0.204 0.284
0.286 0.420 0.715
0.305 0.805 0.111
0.695 0.195 0.889
0.714 0.580 0.285
0.931 0.796 0.716
0.310 0.774 0.500
0.690 0.226 0.500
0.250 0.250 0.999
0.750 0.750 0.001
```

Summary:
Final energy = -5.613 eV/atom
Space-group type = P-1
Crystal system = triclinic
Energy of formation = -49.12 kJ per mole of atoms



[6]
Density functional theory data (PBE-GGA) for a relaxed LaRhS2 crystal.

The structure in POSCAR format:
```
LaRhS2
1.0
6.776 0.000 0.000
0.000 6.776 0.000
0.000 0.000 6.776
La Rh S
4 4 8
Direct
0.000 0.000 0.000
0.000 0.500 0.500
0.500 0.000 0.500
0.500 0.500 0.000
0.000 0.000 0.500
0.000 0.500 0.000
0.500 0.000 0.000
0.500 0.500 0.500
0.250 0.250 0.250
0.250 0.250 0.750
0.250 0.750 0.250
0.250 0.750 0.750
0.750 0.250 0.250
0.750 0.250 0.750
0.750 0.750 0.250
0.750 0.750 0.750
```

Summary:
Offset from the most stable computed form = 0.000 eV/atom
Final energy = -6.079 eV/atom
Space-group type = Fm-3m
Crystal system = cubic
Energy relative to the elements, uncorrected = -0.9458 eV per atom



> Among the records above, which one has the lowest final energy?

Pm7InRu4



> Among the records above, which one has the lowest final energy?

Pm7InRu4